Entry 1:
## PaNi2Pt (PBE)

Data for a geometry-optimized PaNi2Pt structure.

Calculated values
The formation energy is -534 meV/atom.

CIF file:
```
data_PaNi2Pt
_cell_length_a 4.3749
_cell_length_b 4.3749
_cell_length_c 11.8689
_cell_angle_alpha 90.00
_cell_angle_beta 90.00
_cell_angle_gamma 120.00
_space_group_name_H-M_alt 'R -3 m'
_space_group_IT_number 166
_space_group_name_Hall '-R 3 2"'
loop_
_atom_site_label
_atom_site_fract_x
_atom_site_fract_y
_atom_site_fract_z
Pa1 0.0000 0.0000 0.0000
Ni1 0.0000 0.0000 0.2152
Pt1 0.0000 0.0000 0.5000
```

Entry 2:
## PaV2W (PBE)

Data for a geometry-optimized PaV2W structure.

Calculated values
The formation energy is 204 meV/atom.

CIF file:
```
data_PaV2W
_cell_length_a 3.214
_cell_length_b 3.214
_cell_length_c 6.462
_cell_angle_alpha 90.00
_cell_angle_beta 90.00
_cell_angle_gamma 90.00
_space_group_name_H-M_alt 'P 4/m m m'
_space_group_IT_number 123
_space_group_name_Hall '-P 4 2'
loop_
_atom_site_label
_atom_site_fract_x
_atom_site_fract_y
_atom_site_fract_z
Pa1 0.000 0.000 0.000
V1 0.500 0.500 0.266
W1 0.000 0.000 0.500
```

Entry 3:
## LiMg2Zr (PBE)

Data for a geometry-optimized LiMg2Zr structure.

Calculated values
The formation energy is 76 meV/atom.

CIF file:
```
data_LiMg2Zr
_cell_length_a 2.922
_cell_length_b 4.646
_cell_length_c 6.380
_cell_angle_alpha 90.00
_cell_angle_beta 99.57
_cell_angle_gamma 90.00
_space_group_name_H-M_alt 'P 1 2/m 1'
_space_group_IT_number 10
loop_
_space_group_symop_operation_xyz
'x,y,z'
'-x,-y,-z'
'-x,y,-z'
'x,-y,z'
loop_
_atom_site_label
_atom_site_fract_x
_atom_site_fract_y
_atom_site_fract_z
Li1 0.000 0.000 0.000
Mg1 0.419 0.500 0.239
Zr1 0.000 0.000 0.500
```